Run a
A relaxed ThZrGa crystal, computed with PBE-GGA.

Unit cell a=3.3286 b=3.3286 c=13.0472 alpha=90.00 beta=90.00 gamma=90.00
Space group I4mm (No. 107)
One atom of each set of equivalent atoms:
Th: 0.0000 0.0000 0.0000 (multiplicity 2)
Zr: 0.0000 0.0000 0.3046 (multiplicity 2)
Ga: 0.0000 0.0000 0.6696 (multiplicity 2)


Run b
A relaxed ThZrGa crystal, computed with PBE-GGA.

Unit cell a=4.9479 b=4.9479 c=3.5040 alpha=90.00 beta=90.00 gamma=120.00
Space group P3m1 (No. 156)
One atom of each set of equivalent atoms:
Th: 0.0000 0.0000 0.0000 (multiplicity 1)
Zr: 0.3333 0.6667 0.5030 (multiplicity 1)
Ga: 0.6667 0.3333 0.4901 (multiplicity 1)


Run c
A relaxed ThZrGa crystal, computed with PBE-GGA.

Unit cell a=4.9088 b=4.9088 c=21.4636 alpha=90.00 beta=90.00 gamma=120.00
Space group R-3m (No. 166, hexagonal axes)
One atom of each set of equivalent atoms:
Th: 0.0000 0.0000 0.2121 (multiplicity 6)
Zr: 0.0000 0.0000 0.3640 (multiplicity 6)
Ga: 0.0000 0.0000 0.0613 (multiplicity 6)


Energy ordering: run a at the bottom, the next structure 22 meV/atom above.


Run a
A relaxed ThZrGa2 crystal, computed with PBE-GGA.

Unit cell a=4.6087 b=4.6087 c=4.2202 alpha=90.00 beta=90.00 gamma=90.00
Space group P4/mmm (No. 123)
One atom of each set of equivalent atoms:
Th: 0.0000 0.0000 0.0000 (multiplicity 1)
Zr: 0.5000 0.5000 0.0000 (multiplicity 1)
Ga: 0.0000 0.5000 0.5000 (multiplicity 2)


Run b
A relaxed ThZrGa2 crystal, computed with PBE-GGA.

Unit cell a=8.1990 b=4.1155 c=10.9896 alpha=90.00 beta=90.00 gamma=90.00
Space group Pnma (No. 62)
One atom of each set of equivalent atoms:
Th: 0.1469 0.2500 0.1443 (multiplicity 4)
Zr: 0.0187 0.7500 0.3977 (multiplicity 4)
Ga: 0.1441 0.2500 0.8226 (multiplicity 4)
Ga: 0.2441 0.7500 0.9444 (multiplicity 4)


Run c
A relaxed ThZrGa2 crystal, computed with PBE-GGA.

Unit cell a=3.2721 b=3.2721 c=8.1031 alpha=90.00 beta=90.00 gamma=90.00
Space group P4/mmm (No. 123)
One atom of each set of equivalent atoms:
Th: 0.0000 0.0000 0.0000 (multiplicity 1)
Zr: 0.0000 0.0000 0.5000 (multiplicity 1)
Ga: 0.5000 0.5000 0.2717 (multiplicity 2)


Energy ordering: run b at the bottom, the next structure 54 meV/atom above.


Run a
A relaxed ThZr2Ga crystal, computed with PBE-GGA.

Unit cell a=3.4334 b=3.4334 c=28.0484 alpha=90.00 beta=90.00 gamma=120.00
Space group R-3m (No. 166, hexagonal axes)
One atom of each set of equivalent atoms:
Th: 0.0000 0.0000 0.0000 (multiplicity 3)
Zr: 0.0000 0.0000 0.2413 (multiplicity 6)
Ga: 0.0000 0.0000 0.5000 (multiplicity 3)


Run b
A relaxed ThZr2Ga crystal, computed with PBE-GGA.

Unit cell a=3.6139 b=3.6139 c=7.0561 alpha=90.00 beta=90.00 gamma=90.00
Space group P4/mmm (No. 123)
One atom of each set of equivalent atoms:
Th: 0.0000 0.0000 0.0000 (multiplicity 1)
Zr: 0.5000 0.5000 0.2887 (multiplicity 2)
Ga: 0.0000 0.0000 0.5000 (multiplicity 1)


Energy ordering: run b at the bottom, the next structure 148 meV/atom above.


Run a
A relaxed ThZr2Ga crystal, computed with PBE-GGA.

Unit cell a=3.3390 b=3.3390 c=29.5471 alpha=90.00 beta=90.00 gamma=120.00
Space group R3m (No. 160, hexagonal axes)
One atom of each set of equivalent atoms:
Th: 0.0000 0.0000 0.0000 (multiplicity 3)
Zr: 0.0000 0.0000 0.2408 (multiplicity 3)
Zr: 0.0000 0.0000 0.4253 (multiplicity 3)
Ga: 0.0000 0.0000 0.8331 (multiplicity 3)


Run b
A relaxed ThZr2Ga crystal, computed with PBE-GGA.

Unit cell a=4.6263 b=4.6263 c=4.3030 alpha=90.00 beta=90.00 gamma=90.00
Space group P4/mmm (No. 123)
One atom of each set of equivalent atoms:
Th: 0.0000 0.0000 0.0000 (multiplicity 1)
Zr: 0.0000 0.5000 0.5000 (multiplicity 2)
Ga: 0.5000 0.5000 0.0000 (multiplicity 1)


Energy ordering: run b at the bottom, the next structure 138 meV/atom above.